(1)
DFT (PBE) results for a relaxed structure of ScBi3I.

```
5
Lattice="5.8406 0.0000 0.0000 0.0000 5.8406 0.0000 0.0000 0.0000 5.8406" Properties=species:S:1:pos:R:3 pbc="T T T"
Sc 0.0000 0.0000 0.0000
Bi 0.0000 2.9203 2.9203
Bi 2.9203 0.0000 2.9203
Bi 2.9203 2.9203 0.0000
I 2.9203 2.9203 2.9203
```

Properties
The excess energy over the best structure of this formula in the dataset comes out at 788 meV/atom. The density of states at the Fermi level is 0.967 states/eV per atom.

---

(2)
DFT (PBE) results for a relaxed structure of Sc2BiI.

```
8
Lattice="-3.3234 3.3234 6.6657 3.3234 -3.3234 6.6657 3.3234 3.3234 -6.6657" Properties=species:S:1:pos:R:3 pbc="T T T"
Sc 4.9850 1.6043 -1.6664
Sc 1.6043 1.6617 1.6664
Sc -1.6617 1.7190 4.9993
Sc 1.7190 1.6617 8.3321
Bi 0.0000 0.0000 0.0000
Bi 0.0000 3.3234 3.3329
I 3.3234 0.0000 3.3329
I 0.0000 0.0000 6.6657
```

Properties
The excess energy over the best structure of this formula in the dataset comes out at 282 meV/atom. The density of states at the Fermi level is 1.095 states/eV per atom.

---

(3)
DFT (PBE) results for a relaxed structure of ScTa2BiI.

```
5
Lattice="5.1070 0.0000 0.0000 0.0000 5.1070 0.0000 0.0000 0.0000 5.3665" Properties=species:S:1:pos:R:3 pbc="T T T"
Sc 0.0000 0.0000 0.0000
Ta 0.0000 2.5535 0.0000
Ta 2.5535 0.0000 0.0000
Bi 0.0000 0.0000 2.6833
I 2.5535 2.5535 2.6833
```

Properties
The total energy comes out at -5.436 eV per atom. The density of states at the Fermi level is 1.239 states/eV per atom.

---

(4)
DFT (PBE) results for a relaxed structure of ScBiTeI2.

```
5
Lattice="5.5986 0.0000 0.0000 0.0000 5.5986 0.0000 0.0000 0.0000 5.9395" Properties=species:S:1:pos:R:3 pbc="T T T"
Sc 0.0000 0.0000 0.0000
Bi 2.7993 2.7993 2.9697
Te 0.0000 0.0000 2.9697
I 0.0000 2.7993 0.0000
I 2.7993 0.0000 0.0000
```

Properties
The excess energy over the best structure of this formula in the dataset comes out at 0 meV/atom. The density of states at the Fermi level is 0.463 states/eV per atom.